Entry 1:
HoErPbO2 after structural relaxation. Source: the Alexandria database, functional PBE.

```
data_HoErPbO2
_symmetry_space_group_name_H-M 'P 1'
_symmetry_Int_Tables_number 1
_cell_length_a 3.818
_cell_length_b 3.818
_cell_length_c 7.551
_cell_angle_alpha 104.65
_cell_angle_beta 104.65
_cell_angle_gamma 90.00
loop_
_symmetry_equiv_pos_as_xyz
'x,y,z'
loop_
_atom_site_label
_atom_site_type_symbol
_atom_site_fract_x
_atom_site_fract_y
_atom_site_fract_z
O1 O 0.750 0.250 0.499
Ho1 Ho 0.829 0.829 0.658
Er1 Er 0.172 0.172 0.343
O2 O 0.250 0.750 0.499
Pb1 Pb 0.500 0.500 0.001
```

Properties
- symmetry = I4mm
- E_form (uncorrected) (eV/atom) = -2.581

***

Entry 2:
RbNiP2Se8 after structural relaxation. Source: the Alexandria database, functional PBE.

```
data_RbNiP2Se8
_symmetry_space_group_name_H-M 'P 1'
_symmetry_Int_Tables_number 1
_cell_length_a 5.877
_cell_length_b 5.877
_cell_length_c 11.122
_cell_angle_alpha 90.00
_cell_angle_beta 90.00
_cell_angle_gamma 120.00
loop_
_symmetry_equiv_pos_as_xyz
'x,y,z'
loop_
_atom_site_label
_atom_site_type_symbol
_atom_site_fract_x
_atom_site_fract_y
_atom_site_fract_z
Se1 Se 0.667 0.333 0.102
P1 P 0.667 0.333 0.296
P2 P 0.333 0.667 0.704
Se2 Se 0.297 0.340 0.362
Se3 Se 0.340 0.043 0.638
Rb1 Rb 0.000 0.000 0.000
Se4 Se 0.660 0.957 0.362
Se5 Se 0.957 0.297 0.638
Se6 Se 0.333 0.667 0.898
Se7 Se 0.703 0.660 0.638
Ni1 Ni 0.000 0.000 0.500
Se8 Se 0.043 0.703 0.362
```

Properties
- symmetry = P-3
- E_form (uncorrected) (eV/atom) = -0.177

***

Entry 3:
La4Hg5Ge2 after structural relaxation. Source: the Alexandria database, functional PBE.

```
data_La4Hg5Ge2
_symmetry_space_group_name_H-M 'P 1'
_symmetry_Int_Tables_number 1
_cell_length_a 4.185
_cell_length_b 7.955
_cell_length_c 9.358
_cell_angle_alpha 94.13
_cell_angle_beta 90.00
_cell_angle_gamma 90.00
loop_
_symmetry_equiv_pos_as_xyz
'x,y,z'
loop_
_atom_site_label
_atom_site_type_symbol
_atom_site_fract_x
_atom_site_fract_y
_atom_site_fract_z
Hg1 Hg 0.000 0.853 0.870
Hg2 Hg 0.000 0.147 0.130
La1 La 0.500 0.196 0.855
La2 La 0.500 0.765 0.578
Hg3 Hg 0.000 0.452 0.669
Ge1 Ge 0.000 0.933 0.373
Hg4 Hg 0.000 0.500 0.000
La3 La 0.500 0.804 0.145
La4 La 0.500 0.235 0.422
Ge2 Ge 0.000 0.067 0.627
Hg5 Hg 0.000 0.548 0.331
```

Properties
- symmetry = P2/m
- energy relative to the elements (meV per atom) = -549

***

Entry 4:
Li4TmTl5 after structural relaxation. Source: the Alexandria database, functional PBE.

```
data_Li4TmTl5
_symmetry_space_group_name_H-M 'P 1'
_symmetry_Int_Tables_number 1
_cell_length_a 3.558
_cell_length_b 3.558
_cell_length_c 17.553
_cell_angle_alpha 90.00
_cell_angle_beta 90.00
_cell_angle_gamma 90.00
loop_
_symmetry_equiv_pos_as_xyz
'x,y,z'
loop_
_atom_site_label
_atom_site_type_symbol
_atom_site_fract_x
_atom_site_fract_y
_atom_site_fract_z
Tl1 Tl 0.500 0.500 0.305
Tm1 Tm 0.000 0.000 0.000
Li1 Li 0.000 0.000 0.209
Li2 Li 0.000 0.000 0.791
Tl2 Tl 0.500 0.500 0.883
Li3 Li 0.000 0.000 0.401
Li4 Li 0.000 0.000 0.599
Tl3 Tl 0.500 0.500 0.500
Tl4 Tl 0.500 0.500 0.695
Tl5 Tl 0.500 0.500 0.117
```

Properties
- symmetry = P4/mmm
- energy relative to the elements (meV per atom) = -236

***

Entry 5:
TiCoReTc after structural relaxation. Source: the Alexandria database, functional PBE.

```
data_TiCoReTc
_symmetry_space_group_name_H-M 'P 1'
_symmetry_Int_Tables_number 1
_cell_length_a 4.303
_cell_length_b 4.303
_cell_length_c 4.303
_cell_angle_alpha 60.00
_cell_angle_beta 60.00
_cell_angle_gamma 60.00
loop_
_symmetry_equiv_pos_as_xyz
'x,y,z'
loop_
_atom_site_label
_atom_site_type_symbol
_atom_site_fract_x
_atom_site_fract_y
_atom_site_fract_z
Ti1 Ti 0.250 0.250 0.250
Re1 Re 0.750 0.750 0.750
Co1 Co 0.000 0.000 0.000
Tc1 Tc 0.500 0.500 0.500
```

Properties
- symmetry = F-43m
- energy relative to the elements (meV per atom) = -154

***

Entry 6:
CrMo2Ir after structural relaxation. Source: the Alexandria database, functional PBE.

```
data_CrMo2Ir
_symmetry_space_group_name_H-M 'P 1'
_symmetry_Int_Tables_number 1
_cell_length_a 2.683
_cell_length_b 2.683
_cell_length_c 8.231
_cell_angle_alpha 90.00
_cell_angle_beta 90.00
_cell_angle_gamma 96.99
loop_
_symmetry_equiv_pos_as_xyz
'x,y,z'
loop_
_atom_site_label
_atom_site_type_symbol
_atom_site_fract_x
_atom_site_fract_y
_atom_site_fract_z
Mo1 Mo 0.000 0.000 0.987
Ir1 Ir 0.500 0.500 0.730
Cr1 Cr 0.000 0.000 0.518
Mo2 Mo 0.500 0.500 0.265
```

Properties
- symmetry = Cmm2
- energy above the most stable polymorph in this dataset (eV per atom) = 0.022
- energy relative to the elements (meV per atom) = 38

***

Entry 7:
KLaHg2Rh after structural relaxation. Source: the Alexandria database, functional PBE.

```
data_KLaHg2Rh
_symmetry_space_group_name_H-M 'P 1'
_symmetry_Int_Tables_number 1
_cell_length_a 5.534
_cell_length_b 5.534
_cell_length_c 5.109
_cell_angle_alpha 90.00
_cell_angle_beta 90.00
_cell_angle_gamma 90.00
loop_
_symmetry_equiv_pos_as_xyz
'x,y,z'
loop_
_atom_site_label
_atom_site_type_symbol
_atom_site_fract_x
_atom_site_fract_y
_atom_site_fract_z
Hg1 Hg 0.500 0.000 0.000
Rh1 Rh 0.000 0.000 0.000
K1 K 0.500 0.500 0.500
La1 La 0.000 0.000 0.500
Hg2 Hg 0.000 0.500 0.000
```

Properties
- symmetry = P4/mmm
- energy relative to the elements (meV per atom) = -320

***

Entry 8:
Sc8CS6 after structural relaxation. Source: the Alexandria database, functional PBE.

```
data_Sc8CS6
_symmetry_space_group_name_H-M 'P 1'
_symmetry_Int_Tables_number 1
_cell_length_a 5.315
_cell_length_b 7.584
_cell_length_c 7.584
_cell_angle_alpha 120.00
_cell_angle_beta 90.00
_cell_angle_gamma 90.00
loop_
_symmetry_equiv_pos_as_xyz
'x,y,z'
loop_
_atom_site_label
_atom_site_type_symbol
_atom_site_fract_x
_atom_site_fract_y
_atom_site_fract_z
S1 S 0.254 0.609 0.609
Sc1 Sc 0.256 0.000 0.754
Sc2 Sc 0.256 0.246 0.246
S2 S 0.746 0.609 0.000
S3 S 0.746 0.000 0.609
Sc3 Sc 0.500 0.333 0.667
Sc4 Sc 0.744 0.000 0.246
S4 S 0.254 0.000 0.391
Sc5 Sc 0.744 0.754 0.754
S5 S 0.254 0.391 0.000
S6 S 0.746 0.391 0.391
Sc6 Sc 0.500 0.667 0.333
Sc7 Sc 0.256 0.754 0.000
Sc8 Sc 0.744 0.246 0.000
C1 C 0.500 0.000 0.000
```

Properties
- symmetry = P-31m
- E_form (uncorrected) (eV/atom) = -1.441

***

Entry 9:
ScBiS2 after structural relaxation. Source: the Alexandria database, functional PBE.

```
data_ScBiS2
_symmetry_space_group_name_H-M 'P 1'
_symmetry_Int_Tables_number 1
_cell_length_a 6.447
_cell_length_b 3.926
_cell_length_c 8.217
_cell_angle_alpha 83.22
_cell_angle_beta 93.59
_cell_angle_gamma 89.60
loop_
_symmetry_equiv_pos_as_xyz
'x,y,z'
loop_
_atom_site_label
_atom_site_type_symbol
_atom_site_fract_x
_atom_site_fract_y
_atom_site_fract_z
S1 S 0.988 0.788 0.811
S2 S 0.182 0.206 0.156
Sc1 Sc 0.337 0.751 0.990
Sc2 Sc 0.829 0.252 0.982
Bi1 Bi 0.031 0.880 0.485
S3 S 0.474 0.296 0.812
Bi2 Bi 0.390 0.366 0.484
S4 S 0.688 0.710 0.146
```

Properties
- symmetry = P1
- E_form (uncorrected) (eV/atom) = -1.218

***

Entry 10:
Li2Pb after structural relaxation. Source: the Alexandria database, functional PBE.

```
data_Li2Pb
_symmetry_space_group_name_H-M 'P 1'
_symmetry_Int_Tables_number 1
_cell_length_a 3.352
_cell_length_b 3.352
_cell_length_c 7.276
_cell_angle_alpha 90.00
_cell_angle_beta 90.00
_cell_angle_gamma 120.00
loop_
_symmetry_equiv_pos_as_xyz
'x,y,z'
loop_
_atom_site_label
_atom_site_type_symbol
_atom_site_fract_x
_atom_site_fract_y
_atom_site_fract_z
Pb1 Pb 0.000 0.000 0.000
Li1 Li 0.667 0.333 0.674
Li2 Li 0.333 0.667 0.326
```

Properties
- symmetry = P-3m1
- energy relative to the elements (meV per atom) = -103

***

Entry 11:
BaIn12Rh4 after structural relaxation. Source: the Alexandria database, functional PBE.

```
data_BaIn12Rh4
_symmetry_space_group_name_H-M 'P 1'
_symmetry_Int_Tables_number 1
_cell_length_a 8.935
_cell_length_b 8.935
_cell_length_c 8.935
_cell_angle_alpha 109.47
_cell_angle_beta 109.47
_cell_angle_gamma 109.47
loop_
_symmetry_equiv_pos_as_xyz
'x,y,z'
loop_
_atom_site_label
_atom_site_type_symbol
_atom_site_fract_x
_atom_site_fract_y
_atom_site_fract_z
Rh1 Rh 0.000 0.500 0.000
In1 In 0.739 0.477 0.738
Ba1 Ba 0.000 0.000 0.000
In2 In 0.262 0.261 0.523
In3 In 0.477 0.738 0.739
In4 In 0.001 0.262 0.739
Rh2 Rh 0.500 0.000 0.000
Rh3 Rh 0.500 0.500 0.500
In5 In 0.261 0.523 0.262
In6 In 0.523 0.262 0.261
In7 In 0.261 0.999 0.738
In8 In 0.739 0.001 0.262
In9 In 0.738 0.261 0.999
Rh4 Rh 0.000 0.000 0.500
In10 In 0.999 0.738 0.261
In11 In 0.262 0.739 0.001
In12 In 0.738 0.739 0.477
```

Properties
- symmetry = Im-3
- energy relative to the elements (meV per atom) = -209

***

Entry 12:
Sr5Zn after structural relaxation. Source: the Alexandria database, functional PBE.

```
data_Sr5Zn
_symmetry_space_group_name_H-M 'P 1'
_symmetry_Int_Tables_number 1
_cell_length_a 7.032
_cell_length_b 7.032
_cell_length_c 6.488
_cell_angle_alpha 90.00
_cell_angle_beta 90.00
_cell_angle_gamma 120.00
loop_
_symmetry_equiv_pos_as_xyz
'x,y,z'
loop_
_atom_site_label
_atom_site_type_symbol
_atom_site_fract_x
_atom_site_fract_y
_atom_site_fract_z
Sr1 Sr 0.686 0.000 0.000
Sr2 Sr 0.667 0.333 0.500
Sr3 Sr 0.314 0.314 0.000
Sr4 Sr 0.000 0.686 0.000
Sr5 Sr 0.333 0.667 0.500
Zn1 Zn 0.000 0.000 0.500
```

Properties
- symmetry = P-62m
- energy above the most stable polymorph in this dataset (eV per atom) = 0.151
- energy relative to the elements (meV per atom) = 92

***

Entry 13:
NbGaRh after structural relaxation. Source: the Alexandria database, functional PBE.

```
data_NbGaRh
_symmetry_space_group_name_H-M 'P 1'
_symmetry_Int_Tables_number 1
_cell_length_a 2.847
_cell_length_b 4.361
_cell_length_c 4.361
_cell_angle_alpha 120.00
_cell_angle_beta 90.00
_cell_angle_gamma 90.00
loop_
_symmetry_equiv_pos_as_xyz
'x,y,z'
loop_
_atom_site_label
_atom_site_type_symbol
_atom_site_fract_x
_atom_site_fract_y
_atom_site_fract_z
Rh1 Rh 0.167 0.000 0.000
Nb1 Nb 0.666 0.333 0.667
Ga1 Ga 0.167 0.667 0.333
```

Properties
- symmetry = P-6m2
- energy relative to the elements (meV per atom) = -533

***

Entry 14:
PmScAgRh after structural relaxation. Source: the Alexandria database, functional PBE.

```
data_PmScAgRh
_symmetry_space_group_name_H-M 'P 1'
_symmetry_Int_Tables_number 1
_cell_length_a 4.929
_cell_length_b 4.929
_cell_length_c 4.929
_cell_angle_alpha 60.00
_cell_angle_beta 60.00
_cell_angle_gamma 60.00
loop_
_symmetry_equiv_pos_as_xyz
'x,y,z'
loop_
_atom_site_label
_atom_site_type_symbol
_atom_site_fract_x
_atom_site_fract_y
_atom_site_fract_z
Sc1 Sc 0.500 0.500 0.500
Pm1 Pm 0.000 0.000 0.000
Ag1 Ag 0.750 0.750 0.750
Rh1 Rh 0.250 0.250 0.250
```

Properties
- symmetry = F-43m
- energy relative to the elements (meV per atom) = -477